(1)
CdSeCl2F: optimized geometry, PBE-GGA.

- E_tot: -2.53 eV per atom

```
CdSeCl2F
1.0
-2.814 0.416 -4.523
3.467 -1.214 -2.269
-1.490 -5.111 0.458
F Cl Cd Se
1 2 1 1
direct
0.000 0.500 0.000
0.500 0.000 0.000
0.000 0.000 0.500
0.000 0.000 0.000
0.500 0.500 0.500
```

(2)
Sm2LuZn: optimized geometry, PBE-GGA.

- E_tot: -3.95 eV per atom
- Offset from the most stable computed form: 0 meV/atom
- Energy of formation from the pure elements: -0.6 eV/f.u.

```
Sm2LuZn
1.0
-2.074 -0.448 2.925
-2.689 -1.204 -2.092
2.926 -8.010 0.848
Sm Zn Lu
2 1 1
direct
0.000 0.000 0.787
0.000 0.000 0.213
0.500 0.500 0.000
0.500 0.500 0.500
```

(3)
LaCu2P: optimized geometry, PBE-GGA.

- E_tot: -4.72 eV per atom
- Energy of formation from the pure elements: -0.4 eV/f.u.

```
LaCu2P
1.0
-0.025 -5.548 -0.054
2.671 2.585 4.119
-1.179 -1.490 3.666
P La Cu
1 1 2
direct
0.000 0.500 0.500
0.500 0.000 0.500
0.500 0.500 0.000
0.000 0.000 0.000
```

(4)
Sr3MgZn8: optimized geometry, PBE-GGA.

- E_tot: -1.55 eV per atom
- Energy of formation from the pure elements: -1.8 eV/f.u.

```
Sr3MgZn8
1.0
5.656 0.000 0.000
2.828 4.898 0.000
2.828 1.633 9.372
Sr Zn Mg
3 8 1
direct
0.376 0.376 0.872
0.503 0.503 0.491
0.996 0.996 0.013
0.189 0.189 0.432
0.938 0.938 0.680
0.935 0.437 0.191
0.444 0.938 0.680
0.437 0.437 0.191
0.437 0.935 0.191
0.685 0.685 0.946
0.938 0.444 0.680
0.873 0.873 0.381
```

Number 1 is which compound?
CdSeCl2F

Among the records above, which one has the highest E_tot?
Sr3MgZn8

Look up the E_tot of the fourth one.
-1.55 eV per atom